# 1
# CdMo2Au (meta-GGA SCAN, single point on PBEsol structure)
# Formation enthalpy at 0 K   1.7 eV per formula unit
data_CdMo2Au
_space_group_name_H-M_alt 'R -3 m'
_space_group_IT_number 166
_space_group_name_Hall '-R 3 2"'
_cell_length_a 2.8044
_cell_length_b 2.8044
_cell_length_c 28.9548
_cell_angle_alpha 90.00
_cell_angle_beta 90.00
_cell_angle_gamma 120.00
loop_
_atom_site_label
_atom_site_fract_x
_atom_site_fract_y
_atom_site_fract_z
_atom_site_occupancy
Cd1 0.0000 0.0000 0.0000 1
Mo1 0.0000 0.0000 0.2475 1
Au1 0.0000 0.0000 0.5000 1

***

# 2
# Dy2Al2Fe15 (meta-GGA SCAN, single point on PBEsol structure)
# Formation enthalpy at 0 K   -0.8 eV per formula unit
data_Dy2Al2Fe15
_space_group_name_H-M_alt 'P 63/m m c'
_space_group_IT_number 194
_space_group_name_Hall '-P 6c 2c'
_cell_length_a 8.1683
_cell_length_b 8.1683
_cell_length_c 8.2384
_cell_angle_alpha 90.00
_cell_angle_beta 90.00
_cell_angle_gamma 120.00
loop_
_atom_site_label
_atom_site_fract_x
_atom_site_fract_y
_atom_site_fract_z
_atom_site_occupancy
Dy1 0.0000 0.0000 0.2500 1
Dy2 0.3333 0.6667 0.2500 1
Al1 0.3333 0.6667 0.6004 1
Fe1 0.0000 0.5000 0.0000 1
Fe2 0.0362 0.3667 0.7500 1
Fe3 0.1651 0.3303 0.0116 1

***

# 3
# CuSi2P (meta-GGA SCAN, single point on PBEsol structure)
# Energy relative to the elements, uncorrected   0.501 eV/atom
data_CuSi2P
_space_group_name_H-M_alt 'P m m m'
_space_group_IT_number 47
_cell_length_a 2.544
_cell_length_b 3.146
_cell_length_c 6.640
_cell_angle_alpha 90.00
_cell_angle_beta 90.00
_cell_angle_gamma 90.00
loop_
_space_group_symop_operation_xyz
'x,y,z'
'-x,-y,-z'
'-x,-y,z'
'x,y,-z'
'x,-y,-z'
'-x,y,z'
'-x,y,-z'
'x,-y,z'
loop_
_atom_site_label
_atom_site_fract_x
_atom_site_fract_y
_atom_site_fract_z
_atom_site_occupancy
Cu1 0.000 0.000 0.000 1
Si1 0.500 0.500 0.242 1
P1 0.000 0.000 0.500 1

***

# 4
# Mn2CoO6 (meta-GGA SCAN, single point on PBEsol structure)
# Energy relative to the elements, uncorrected   -1.708 eV/atom
data_Mn2CoO6
_space_group_name_H-M_alt 'C 1 2/m 1'
_space_group_IT_number 12
_cell_length_a 12.379
_cell_length_b 2.827
_cell_length_c 5.693
_cell_angle_alpha 90.00
_cell_angle_beta 104.01
_cell_angle_gamma 90.00
loop_
_space_group_symop_operation_xyz
'x,y,z'
'-x,-y,-z'
'-x,y,-z'
'x,-y,z'
'x+1/2,y+1/2,z'
'-x+1/2,-y+1/2,-z'
'-x+1/2,y+1/2,-z'
'x+1/2,-y+1/2,z'
loop_
_atom_site_label
_atom_site_fract_x
_atom_site_fract_y
_atom_site_fract_z
_atom_site_occupancy
Mn1 0.166 0.000 0.331 1
Co1 0.000 0.500 0.000 1
O1 0.010 0.000 0.218 1
O2 0.155 0.500 0.108 1
O3 0.177 0.500 0.558 1

***

# 5
# Zn3Fe (meta-GGA SCAN, single point on PBEsol structure)
# Formation enthalpy at 0 K   0.0 eV per formula unit
data_Zn3Fe
_space_group_name_H-M_alt 'P -6 m 2'
_space_group_IT_number 187
_space_group_name_Hall 'P -6 2'
_cell_length_a 2.6395
_cell_length_b 2.6395
_cell_length_c 8.5704
_cell_angle_alpha 90.00
_cell_angle_beta 90.00
_cell_angle_gamma 120.00
loop_
_atom_site_label
_atom_site_fract_x
_atom_site_fract_y
_atom_site_fract_z
_atom_site_occupancy
Zn1 0.0000 0.0000 0.0000 1
Zn2 0.6667 0.3333 0.2612 1
Fe1 0.0000 0.0000 0.5000 1

***

# 6
# La2RhCl (meta-GGA SCAN, single point on PBEsol structure)
# Energy relative to the elements, uncorrected   -1.477 eV/atom
# Polymorph energy (0 for the lowest one)   0 meV per atom
data_La2RhCl
_space_group_name_H-M_alt 'R -3 m'
_space_group_IT_number 166
_space_group_name_Hall '-R 3 2"'
_cell_length_a 4.0665
_cell_length_b 4.0665
_cell_length_c 22.5235
_cell_angle_alpha 90.00
_cell_angle_beta 90.00
_cell_angle_gamma 120.00
loop_
_atom_site_label
_atom_site_fract_x
_atom_site_fract_y
_atom_site_fract_z
_atom_site_occupancy
La1 0.0000 0.0000 0.2364 1
Rh1 0.0000 0.0000 0.5000 1
Cl1 0.0000 0.0000 0.0000 1

***

# 7
# LiVF6 (meta-GGA SCAN, single point on PBEsol structure)
# Energy relative to the elements, uncorrected   -2.976 eV/atom
data_LiVF6
_space_group_name_H-M_alt 'C 1 2/m 1'
_space_group_IT_number 12
_cell_length_a 9.058
_cell_length_b 5.355
_cell_length_c 5.229
_cell_angle_alpha 90.00
_cell_angle_beta 125.18
_cell_angle_gamma 90.00
loop_
_space_group_symop_operation_xyz
'x,y,z'
'-x,-y,-z'
'-x,y,-z'
'x,-y,z'
'x+1/2,y+1/2,z'
'-x+1/2,-y+1/2,-z'
'-x+1/2,y+1/2,-z'
'x+1/2,-y+1/2,z'
loop_
_atom_site_label
_atom_site_fract_x
_atom_site_fract_y
_atom_site_fract_z
_atom_site_occupancy
Li1 0.000 0.000 0.000 1
V1 0.000 0.500 0.500 1
F1 0.039 0.264 0.774 1
F2 0.234 0.500 0.656 1

***

# 8
# SrCuNi2 (meta-GGA SCAN, single point on PBEsol structure)
# Formation enthalpy at 0 K   2.6 eV per formula unit
# Polymorph energy (0 for the lowest one)   682 meV per atom
data_SrCuNi2
_space_group_name_H-M_alt 'C 1 2/m 1'
_space_group_IT_number 12
_cell_length_a 5.454
_cell_length_b 8.462
_cell_length_c 2.808
_cell_angle_alpha 90.00
_cell_angle_beta 111.69
_cell_angle_gamma 90.00
loop_
_space_group_symop_operation_xyz
'x,y,z'
'-x,-y,-z'
'-x,y,-z'
'x,-y,z'
'x+1/2,y+1/2,z'
'-x+1/2,-y+1/2,-z'
'-x+1/2,y+1/2,-z'
'x+1/2,-y+1/2,z'
loop_
_atom_site_label
_atom_site_fract_x
_atom_site_fract_y
_atom_site_fract_z
_atom_site_occupancy
Sr1 0.000 0.000 0.000 1
Cu1 0.000 0.500 0.000 1
Ni1 0.250 0.250 0.500 1

***

# 9
# BaMn3Ga (meta-GGA SCAN, single point on PBEsol structure)
# Formation enthalpy at 0 K   1.2 eV per formula unit
data_BaMn3Ga
_space_group_name_H-M_alt 'P m -3 m'
_space_group_IT_number 221
_space_group_name_Hall '-P 4 2 3'
_cell_length_a 4.857
_cell_length_b 4.857
_cell_length_c 4.857
_cell_angle_alpha 90.00
_cell_angle_beta 90.00
_cell_angle_gamma 90.00
loop_
_atom_site_label
_atom_site_fract_x
_atom_site_fract_y
_atom_site_fract_z
_atom_site_occupancy
Ba1 0.000 0.000 0.000 1
Mn1 0.000 0.500 0.500 1
Ga1 0.500 0.500 0.500 1

***

# 10
# AgPdC2 (meta-GGA SCAN, single point on PBEsol structure)
# Formation enthalpy at 0 K   8.5 eV per formula unit
data_AgPdC2
_space_group_name_H-M_alt 'F m -3 m'
_space_group_IT_number 225
_space_group_name_Hall '-F 4 2 3'
_cell_length_a 5.578
_cell_length_b 5.578
_cell_length_c 5.578
_cell_angle_alpha 90.00
_cell_angle_beta 90.00
_cell_angle_gamma 90.00
loop_
_atom_site_label
_atom_site_fract_x
_atom_site_fract_y
_atom_site_fract_z
_atom_site_occupancy
Ag1 0.000 0.000 0.000 1
Pd1 0.000 0.000 0.500 1
C1 0.250 0.250 0.250 1

***

# 11
# PbAuO2 (meta-GGA SCAN, single point on PBEsol structure)
# Energy relative to the elements, uncorrected   -0.691 eV/atom
data_PbAuO2
_space_group_name_H-M_alt 'P -1'
_space_group_IT_number 2
_cell_length_a 4.702
_cell_length_b 5.552
_cell_length_c 5.975
_cell_angle_alpha 112.20
_cell_angle_beta 103.71
_cell_angle_gamma 93.66
loop_
_space_group_symop_operation_xyz
'x,y,z'
'-x,-y,-z'
loop_
_atom_site_label
_atom_site_fract_x
_atom_site_fract_y
_atom_site_fract_z
_atom_site_occupancy
Pb1 0.239 0.243 0.464 1
Au1 0.000 0.500 0.000 1
Au2 0.500 0.000 0.000 1
O1 0.112 0.797 0.338 1
O2 0.162 0.698 0.824 1

***

# 12
# MgTi5 (meta-GGA SCAN, single point on PBEsol structure)
# Formation enthalpy at 0 K   0.4 eV per formula unit
# Polymorph energy (0 for the lowest one)   0 meV per atom
data_MgTi5
_space_group_name_H-M_alt 'P -6 m 2'
_space_group_IT_number 187
_space_group_name_Hall 'P -6 2'
_cell_length_a 2.9212
_cell_length_b 2.9212
_cell_length_c 14.1571
_cell_angle_alpha 90.00
_cell_angle_beta 90.00
_cell_angle_gamma 120.00
loop_
_atom_site_label
_atom_site_fract_x
_atom_site_fract_y
_atom_site_fract_z
_atom_site_occupancy
Mg1 0.0000 0.0000 0.0000 1
Ti1 0.0000 0.0000 0.3374 1
Ti2 0.6667 0.3333 0.1816 1
Ti3 0.6667 0.3333 0.5000 1

***

| no. | raw total energy (eV/atom) |
| --- | --- |
| 1 | -41.922 |
| 2 | -20.200 |
| 3 | -10.907 |
| 4 | -11.841 |
| 5 | -14.680 |
| 6 | -33.466 |
| 7 | -8.116 |
| 8 | -16.805 |
| 9 | -21.901 |
| 10 | -18.960 |
| 11 | -40.041 |
| 12 | -14.116 |